Version A
Computed, not measured: an optimized crystal structure of CePm2Tl4 at the PBE level of DFT.

Values from the calculation:
crystal system	trigonal

Unit cell a=4.9368 b=4.9368 c=31.2910 alpha=90.00 beta=90.00 gamma=120.00
Space group R-3m (No. 166, hexagonal axes)
Unique sites:
Ce1 0.0000 0.0000 0.0000 x3
Pm1 0.0000 0.0000 0.1287 x6
Tl1 0.0000 0.0000 0.2465 x6
Tl2 0.0000 0.0000 0.3831 x6



Version B
Computed, not measured: an optimized crystal structure of CePm2Tl4 at the PBE level of DFT.

Values from the calculation:
crystal system	tetragonal

Unit cell a=5.3544 b=5.3544 c=7.7615 alpha=90.00 beta=90.00 gamma=90.00
Space group P4/mmm (No. 123)
Unique sites:
Ce1 0.0000 0.0000 0.0000 x1
Pm1 0.0000 0.0000 0.5000 x1
Pm2 0.5000 0.5000 0.0000 x1
Tl1 0.0000 0.5000 0.2692 x4



Which is most stable, and by how much? version B, by 64 meV/atom.



Version A
Computed, not measured: an optimized crystal structure of Ce2Pm2Tl3 at the PBE level of DFT.

Values from the calculation:
crystal system	orthorhombic

Unit cell a=4.4320 b=25.0415 c=3.5631 alpha=90.00 beta=90.00 gamma=90.00
Space group Cmmm (No. 65)
Unique sites:
Ce1 0.0000 0.2156 0.0000 x4
Pm1 0.0000 0.0736 0.0000 x4
Tl1 0.0000 0.3537 0.5000 x4
Tl2 0.0000 0.5000 0.5000 x2



Version B
Computed, not measured: an optimized crystal structure of Ce2Pm2Tl3 at the PBE level of DFT.

Values from the calculation:
crystal system	monoclinic

Unit cell a=16.7673 b=3.5889 c=8.0124 alpha=90.00 beta=118.26 gamma=90.00
Space group C2/m (No. 12)
Unique sites:
Ce1 0.0663 0.0000 0.1796 x4
Pm1 0.1364 0.5000 0.8660 x4
Tl1 0.0000 0.0000 0.5000 x2
Tl2 0.2379 0.0000 0.6589 x4



Which is most stable, and by how much? version A, by 126 meV/atom.



Version A
Computed, not measured: an optimized crystal structure of CePmTl4 at the PBE level of DFT.

Values from the calculation:
crystal system	monoclinic

Unit cell a=8.0997 b=4.7673 c=10.6587 alpha=90.00 beta=104.48 gamma=90.00
Space group C2/m (No. 12)
Unique sites:
Ce1 0.0000 0.0000 0.0000 x2
Pm1 0.0000 0.5000 0.5000 x2
Tl1 0.1057 0.5000 0.8252 x4
Tl2 0.1069 0.0000 0.3284 x4



Version B
Computed, not measured: an optimized crystal structure of CePmTl4 at the PBE level of DFT.

Values from the calculation:
crystal system	cubic

Unit cell a=8.8554 b=8.8554 c=8.8554 alpha=90.00 beta=90.00 gamma=90.00
Space group F-43m (No. 216)
Unique sites:
Ce1 0.0000 0.0000 0.0000 x4
Pm1 0.2500 0.2500 0.2500 x4
Tl1 0.1251 0.1251 0.6251 x16



Which is most stable, and by how much? version B, by 71 meV/atom.



Version A
Computed, not measured: an optimized crystal structure of CePmTl2 at the PBE level of DFT.

Values from the calculation:
crystal system	tetragonal

Unit cell a=5.0658 b=5.0658 c=4.5311 alpha=90.00 beta=90.00 gamma=90.00
Space group P4/mmm (No. 123)
Unique sites:
Ce1 0.0000 0.0000 0.0000 x1
Pm1 0.5000 0.5000 0.0000 x1
Tl1 0.0000 0.5000 0.5000 x2



Version B
Computed, not measured: an optimized crystal structure of CePmTl2 at the PBE level of DFT.

Values from the calculation:
crystal system	tetragonal

Unit cell a=3.5782 b=3.5782 c=9.0240 alpha=90.00 beta=90.00 gamma=90.00
Space group P4/mmm (No. 123)
Unique sites:
Ce1 0.0000 0.0000 0.0000 x1
Pm1 0.0000 0.0000 0.5000 x1
Tl1 0.5000 0.5000 0.2509 x2



Which is most stable, and by how much? version B, by 14 meV/atom.



Version A
Computed, not measured: an optimized crystal structure of CePmTl2 at the PBE level of DFT.

Values from the calculation:
crystal system	cubic

Unit cell a=7.7870 b=7.7870 c=7.7870 alpha=90.00 beta=90.00 gamma=90.00
Space group Fm-3m (No. 225)
Unique sites:
Ce1 0.0000 0.0000 0.0000 x4
Pm1 0.0000 0.0000 0.5000 x4
Tl1 0.2500 0.2500 0.2500 x8



Version B
Computed, not measured: an optimized crystal structure of CePmTl2 at the PBE level of DFT.

Values from the calculation:
crystal system	trigonal

Unit cell a=3.7983 b=3.7983 c=30.1405 alpha=90.00 beta=90.00 gamma=120.00
Space group R-3m (No. 166, hexagonal axes)
Unique sites:
Ce1 0.0000 0.0000 0.0000 x3
Pm1 0.0000 0.0000 0.5000 x3
Tl1 0.0000 0.0000 0.2493 x6



Which is most stable, and by how much? version A, by 126 meV/atom.



Version A
Computed, not measured: an optimized crystal structure of CePm6Tl5 at the PBE level of DFT.

Values from the calculation:
crystal system	orthorhombic

Unit cell a=5.1427 b=8.8584 c=15.6355 alpha=90.00 beta=90.00 gamma=90.00
Space group Immm (No. 71)
Unique sites:
Ce1 0.0000 0.0000 0.0000 x2
Pm1 0.0000 0.2338 0.5000 x4
Pm2 0.0000 0.2575 0.1705 x8
Tl1 0.0000 0.0000 0.3276 x4
Tl2 0.0000 0.5000 0.0000 x2
Tl3 0.0000 0.5000 0.3483 x4



Version B
Computed, not measured: an optimized crystal structure of CePm6Tl5 at the PBE level of DFT.

Values from the calculation:
crystal system	monoclinic

Unit cell a=10.5689 b=11.8100 c=6.2295 alpha=90.00 beta=104.38 gamma=90.00
Space group C2/m (No. 12)
Unique sites:
Ce1 0.0000 0.0000 0.0000 x2
Pm1 0.2219 0.5000 0.2195 x4
Pm2 0.2244 0.3171 0.7311 x8
Tl1 0.0000 0.1342 0.5000 x4
Tl2 0.0000 0.2991 0.0000 x4
Tl3 0.0000 0.5000 0.5000 x2



Which is most stable, and by how much? version A, by 106 meV/atom.